VASP calculation (SCAN) on RbBaHf2Pt at its PBEsol-relaxed geometry.

- Crystal system: tetragonal
- Formation enthalpy at 0 K: 9.3 eV/f.u.
- Total magnetic moment: 0.000 μB per formula unit
- Calculated volume: 163.5 Å³/f.u.

abc: 5.4648 5.4648 5.4747
angles: 90.00 90.00 90.00
Fractional positions:
Rb 0.0000 0.0000 0.0000
Ba 0.5000 0.5000 0.5000
Hf 0.0000 0.5000 0.5000
Hf 0.5000 0.0000 0.5000
Pt 0.5000 0.5000 0.0000